Below is an optimized crystal structure of Pr3YTh2N6, with properties calculated at the GGA-PBE level.

Unit cell a=6.3131 b=6.3131 c=6.3272 alpha=99.55 beta=99.55 gamma=120.00
Closest atoms and distances in Å follow each position.
Positions (direct):
Pr 0.1647 0.8353 0.5000  6 N 2.62-2.66
Pr 0.8353 0.1647 0.5000  6 N 2.62-2.66
Pr 0.5000 0.5000 0.5000  6 N 2.63-2.65
Y 0.0000 0.0000 0.0000  6 N 2.52-2.53
Th 0.3330 0.6670 0.0000  6 N 2.52-2.53
Th 0.6670 0.3330 0.0000  6 N 2.52-2.53
N 0.9227 0.5889 0.7680  2 Th 2.52, 1 Y 2.52, 3 Pr 2.64-2.66
N 0.7441 0.7441 0.2339  2 Th 2.53, 1 Y 2.53, 3 Pr 2.62-2.63
N 0.0773 0.4111 0.2320  2 Th 2.52, 1 Y 2.52, 3 Pr 2.64-2.66
N 0.5889 0.9227 0.7680  2 Th 2.52, 1 Y 2.52, 3 Pr 2.64-2.66
N 0.2559 0.2559 0.7661  2 Th 2.53, 1 Y 2.53, 3 Pr 2.62-2.63
N 0.4111 0.0773 0.2320  2 Th 2.52, 1 Y 2.52, 3 Pr 2.64-2.66

Summary:
energy relative to the elements, uncorrected = -1.5009 eV per atom
SG = No. 12